# 1
Below is crystalline MgTiAg2 at its relaxed geometry, with properties calculated at the PBE level.

Spin magnetization: 8.05 μB/cell
V: 80.4 Å³/f.u.
Calculated formation energy: 0.395 eV/atom

```
data_MgTiAg2
_cell_length_a 7.449
_cell_length_b 7.449
_cell_length_c 5.794
_cell_angle_alpha 90.00
_cell_angle_beta 90.00
_cell_angle_gamma 90.00
_space_group_name_H-M_alt 'I -4 2 d'
_space_group_IT_number 122
_space_group_name_Hall 'I -4 2bw'
loop_
_atom_site_label
_atom_site_fract_x
_atom_site_fract_y
_atom_site_fract_z
Mg1 0.000 0.000 0.000
Ti1 0.000 0.000 0.500
Ag1 0.246 0.250 0.125
```

# 2
Below is crystalline PmDy2YEr6 at its relaxed geometry, with properties calculated at the PBE level.

Spin magnetization: 0.00 μB/cell
V: 317.8 Å³/f.u.
Calculated formation energy: 0.119 eV/atom

```
data_PmDy2YEr6
_cell_length_a 8.994
_cell_length_b 14.988
_cell_length_c 9.511
_cell_angle_alpha 90.00
_cell_angle_beta 97.46
_cell_angle_gamma 90.00
_space_group_name_H-M_alt 'C 1 2/c 1'
_space_group_IT_number 15
_space_group_name_Hall '-C 2yc'
loop_
_atom_site_label
_atom_site_fract_x
_atom_site_fract_y
_atom_site_fract_z
Pm1 0.000 0.024 0.250
Dy1 0.250 0.053 0.545
Y1 0.000 0.409 0.750
Er1 0.064 0.188 0.943
Er2 0.101 0.392 0.119
Er3 0.205 0.226 0.318
```

# 3
Below is crystalline CePr12Tm5 at its relaxed geometry, with properties calculated at the PBE level.

Spin magnetization: 3.03 μB/cell
V: 617.2 Å³/f.u.
Calculated formation energy: 0.040 eV/atom

```
data_CePr12Tm5
_cell_length_a 15.421
_cell_length_b 15.490
_cell_length_c 5.168
_cell_angle_alpha 90.00
_cell_angle_beta 90.00
_cell_angle_gamma 90.00
_space_group_name_H-M_alt 'C m m m'
_space_group_IT_number 65
_space_group_name_Hall '-C 2 2'
loop_
_atom_site_label
_atom_site_fract_x
_atom_site_fract_y
_atom_site_fract_z
Ce1 0.000 0.000 0.000
Pr1 0.163 0.000 0.500
Pr2 0.163 0.500 0.000
Pr3 0.164 0.166 0.000
Pr4 0.164 0.334 0.500
Tm1 0.000 0.166 0.500
Tm2 0.000 0.333 0.000
Tm3 0.000 0.500 0.500
```

# 4
Below is crystalline RbSnSb3 at its relaxed geometry, with properties calculated at the PBE level.

Spin magnetization: 0.00 μB/cell
V: 207.9 Å³/f.u.
Distance to the lowest polymorph of the same formula: 1454.2 meV/atom
Uncorrected formation energy: 6.70 eV/f.u.

```
data_RbSnSb3
_cell_length_a 5.925
_cell_length_b 5.925
_cell_length_c 5.925
_cell_angle_alpha 90.00
_cell_angle_beta 90.00
_cell_angle_gamma 90.00
_space_group_name_H-M_alt 'P m -3 m'
_space_group_IT_number 221
_space_group_name_Hall '-P 4 2 3'
loop_
_atom_site_label
_atom_site_fract_x
_atom_site_fract_y
_atom_site_fract_z
Rb1 0.000 0.000 0.000
Sn1 0.500 0.500 0.500
Sb1 0.000 0.000 0.500
```

# 5
Below is crystalline MgNCl3 at its relaxed geometry, with properties calculated at the PBE level.

Spin magnetization: 0.00 μB/cell
V: 89.2 Å³/f.u.
Distance to the lowest polymorph of the same formula: 862.6 meV/atom
Uncorrected formation energy: 1.90 eV/f.u.

```
data_MgNCl3
_cell_length_a 4.468
_cell_length_b 4.468
_cell_length_c 4.468
_cell_angle_alpha 90.00
_cell_angle_beta 90.00
_cell_angle_gamma 90.00
_space_group_name_H-M_alt 'P m -3 m'
_space_group_IT_number 221
_space_group_name_Hall '-P 4 2 3'
loop_
_atom_site_label
_atom_site_fract_x
_atom_site_fract_y
_atom_site_fract_z
Mg1 0.000 0.000 0.000
N1 0.500 0.500 0.500
Cl1 0.000 0.500 0.500
```

# 6
Below is crystalline LaRe at its relaxed geometry, with properties calculated at the PBE level.

Spin magnetization: 0.00 μB/cell
V: 56.9 Å³/f.u.
Distance to the lowest polymorph of the same formula: 739.9 meV/atom
Calculated formation energy: 0.892 eV/atom

```
data_LaRe
_cell_length_a 6.302
_cell_length_b 6.302
_cell_length_c 5.726
_cell_angle_alpha 90.00
_cell_angle_beta 90.00
_cell_angle_gamma 90.00
_space_group_name_H-M_alt 'P 42/m n m'
_space_group_IT_number 136
_space_group_name_Hall '-P 4n 2n'
loop_
_atom_site_label
_atom_site_fract_x
_atom_site_fract_y
_atom_site_fract_z
La1 0.194 0.194 0.000
Re1 0.130 0.130 0.500
```